First-principles (PBE) data for BePC after structural relaxation, as listed in the Alexandria database.

Magnetization = 0.000 Bohr magnetons per cell
Energy of formation from the pure elements = 0.78 eV per formula unit

a = 5.5527 Å, b = 2.8894 Å, c = 8.8516 Å
α = 90.00°, β = 111.06°, γ = 90.00°
Fractional positions:
P 0.7598 0.0000 0.0914
P 0.7598 0.5000 0.5914
P 0.4076 0.0000 0.6901
P 0.4076 0.5000 0.1901
C 0.9627 0.0000 0.2992
C 0.9627 0.5000 0.7992
C 0.4117 0.0000 0.0664
C 0.4117 0.5000 0.5664
Be 0.1852 0.0000 0.8582
Be 0.1852 0.5000 0.3582
Be 0.8177 0.0000 0.8571
Be 0.8177 0.5000 0.3571